# HfFe2WS | Alexandria | PBE | optimized geometry
# spin magnetization = 2.09 μB per formula unit
# DOS(E_F) = 2.70 states/eV/cell
# formation energy from raw total energies = 0.16 eV/atom
data_HfFe2WS
_space_group_name_H-M_alt 'P 4/m m m'
_space_group_IT_number 123
_space_group_name_Hall '-P 4 2'
_cell_length_a 4.1325
_cell_length_b 4.1325
_cell_length_c 4.4772
_cell_angle_alpha 90.00
_cell_angle_beta 90.00
_cell_angle_gamma 90.00
loop_
_atom_site_label
_atom_site_type_symbol
_atom_site_fract_x
_atom_site_fract_y
_atom_site_fract_z
_atom_site_occupancy
Hf1 Hf 0.0000 0.0000 0.0000 1
Fe1 Fe 0.0000 0.5000 0.5000 1
W1 W 0.5000 0.5000 0.0000 1
S1 S 0.5000 0.5000 0.5000 1